Version i
Here is crystalline TiIn3P at its relaxed geometry from Alexandria. Energies are from PBE-GGA.

Geometry as extended XYZ:
```
5
Lattice="5.337 0.000 0.000 0.000 5.337 0.000 0.000 0.000 5.337" Properties=species:S:1:pos:R:3 pbc="T T T"
In 0.000 0.000 2.669
Ti 0.000 0.000 0.000
In 2.669 0.000 0.000
P 2.669 2.669 2.669
In 0.000 2.669 0.000
```

Computed properties:
Calculated density: 4.6 g/cm3
SG: Pm-3m



Version ii
Here is crystalline TiIn3P at its relaxed geometry from Alexandria. Energies are from PBE-GGA.

Geometry as extended XYZ:
```
5
Lattice="-0.507 -5.051 -0.506 4.565 -0.676 2.174 -2.219 -0.237 4.587" Properties=species:S:1:pos:R:3 pbc="T T T"
P 0.000 0.000 0.000
Ti 0.920 -2.982 3.127
In 2.283 -0.338 1.087
In -0.254 -2.525 -0.253
In -1.110 -0.119 2.294
```

Computed properties:
Calculated density: 5.3 g/cm3
SG: Pm-3m



Stability, highest: version ii



Version i
Here is crystalline TlInP at its relaxed geometry from Alexandria. Energies are from PBE-GGA.

Geometry as extended XYZ:
```
12
Lattice="4.129 0.000 0.000 0.000 8.358 0.000 0.000 0.000 9.906" Properties=species:S:1:pos:R:3 pbc="T T T"
P 2.064 4.179 0.526
Tl 0.000 2.423 2.383
Tl 0.000 5.934 2.383
P 2.064 0.000 3.496
In 2.064 4.179 4.720
Tl 2.064 6.602 7.523
P 0.000 4.179 6.411
P 0.000 0.000 9.380
Tl 2.064 1.755 7.523
In 0.000 4.179 8.969
In 0.000 0.000 5.187
In 2.064 0.000 0.938
```

Computed properties:
Calculated density: 6.8 g/cm3
SG: Pmmn



Version ii
Here is crystalline TlInP at its relaxed geometry from Alexandria. Energies are from PBE-GGA.

Geometry as extended XYZ:
```
3
Lattice="-0.926 -2.749 5.683 2.477 -1.248 5.747 -1.215 2.656 2.305" Properties=species:S:1:pos:R:3 pbc="T T T"
Tl 0.626 -1.771 8.377
In 1.402 -3.639 10.938
P -0.140 0.072 5.849
```

Computed properties:
Calculated density: 7.2 g/cm3
SG: I4mm



Stability, highest: version i



Version i
Here is crystalline TlInP at its relaxed geometry from Alexandria. Energies are from PBE-GGA.

Geometry as extended XYZ:
```
3
Lattice="-4.309 2.187 -0.847 -3.542 -0.162 3.391 -1.218 4.060 2.470" Properties=species:S:1:pos:R:3 pbc="T T T"
Tl 0.000 0.000 0.000
P -2.267 1.521 1.254
In -4.535 3.043 2.507
```

Computed properties:
Calculated density: 7.0 g/cm3
SG: F-43m



Version ii
Here is crystalline TlInP at its relaxed geometry from Alexandria. Energies are from PBE-GGA.

Geometry as extended XYZ:
```
3
Lattice="-3.200 1.905 -1.739 -0.391 -3.864 1.343 -1.562 1.868 4.920" Properties=species:S:1:pos:R:3 pbc="T T T"
P -2.707 0.512 0.686
Tl -2.324 -0.749 3.457
In -0.121 0.144 0.380
```

Computed properties:
Calculated density: 7.2 g/cm3
SG: P3m1



Stability, highest: version ii



Version i
Here is crystalline Tl3InP at its relaxed geometry from Alexandria. Energies are from PBE-GGA.

Geometry as extended XYZ:
```
5
Lattice="5.415 0.000 0.000 0.000 5.415 0.000 0.000 0.000 5.415" Properties=species:S:1:pos:R:3 pbc="T T T"
P 0.000 0.000 0.000
Tl 0.000 2.707 0.000
In 2.707 2.707 2.707
Tl 2.707 0.000 0.000
Tl 0.000 0.000 2.707
```

Computed properties:
Calculated density: 7.9 g/cm3
SG: Pm-3m



Version ii
Here is crystalline Tl3InP at its relaxed geometry from Alexandria. Energies are from PBE-GGA.

Geometry as extended XYZ:
```
5
Lattice="5.698 0.000 0.000 0.000 5.698 0.000 0.000 0.000 5.698" Properties=species:S:1:pos:R:3 pbc="T T T"
Tl 0.000 0.000 2.849
Tl 2.849 0.000 0.000
In 0.000 0.000 0.000
Tl 0.000 2.849 0.000
P 2.849 2.849 2.849
```

Computed properties:
Calculated density: 6.8 g/cm3
SG: Pm-3m



Stability, highest: version i



Version i
Here is crystalline UInP2 at its relaxed geometry from Alexandria. Energies are from PBE-GGA.

Geometry as extended XYZ:
```
4
Lattice="4.086 0.000 0.000 2.043 3.539 0.000 2.043 1.180 6.306" Properties=species:S:1:pos:R:3 pbc="T T T"
P 2.043 1.180 1.267
U 4.086 2.359 0.050
P 2.043 1.180 4.875
In 4.086 2.359 3.267
```

Computed properties:
Calculated density: 7.6 g/cm3
SG: R3m



Version ii
Here is crystalline UInP2 at its relaxed geometry from Alexandria. Energies are from PBE-GGA.

Geometry as extended XYZ:
```
4
Lattice="3.997 0.000 0.000 1.999 3.462 0.000 1.999 1.154 7.200" Properties=species:S:1:pos:R:3 pbc="T T T"
In 3.997 2.308 3.600
P 5.996 3.462 5.780
U 0.000 0.000 0.000
P 1.999 1.154 1.419
```

Computed properties:
Calculated density: 6.9 g/cm3
SG: R-3m



Stability, highest: version i



Version i
Here is crystalline V2InP at its relaxed geometry from Alexandria. Energies are from PBE-GGA.

Geometry as extended XYZ:
```
8
Lattice="4.101 0.000 0.000 0.000 4.101 0.000 2.051 2.051 8.670" Properties=species:S:1:pos:R:3 pbc="T T T"
In 0.000 0.000 0.000
V 1.617 3.076 2.168
In 4.101 2.051 4.335
V 5.127 4.535 6.503
V 2.484 1.025 2.168
V 3.076 3.668 6.503
P 2.051 4.101 4.335
P 2.051 2.051 0.000
```

Computed properties:
Calculated density: 5.6 g/cm3
SG: I-42d



Version ii
Here is crystalline V2InP at its relaxed geometry from Alexandria. Energies are from PBE-GGA.

Geometry as extended XYZ:
```
4
Lattice="2.121 -3.685 -1.143 0.025 -3.460 2.723 -2.280 -3.624 -1.025" Properties=species:S:1:pos:R:3 pbc="T T T"
V -0.101 -8.077 0.416
P 0.000 0.000 0.000
In -0.067 -5.384 0.277
V -0.034 -2.692 0.139
```

Computed properties:
Calculated density: 6.8 g/cm3
SG: Fm-3m



Stability, highest: version ii



Version i
Here is crystalline V3InP at its relaxed geometry from Alexandria. Energies are from PBE-GGA.

Geometry as extended XYZ:
```
5
Lattice="-1.733 1.851 -3.599 -3.690 0.886 2.232 1.663 3.895 1.202" Properties=species:S:1:pos:R:3 pbc="T T T"
V 0.831 1.947 0.601
In -1.880 3.316 -0.082
V -0.866 0.925 -1.799
P 0.000 0.000 0.000
V -1.845 0.443 1.116
```

Computed properties:
Calculated density: 5.8 g/cm3
SG: Pm-3m



Version ii
Here is crystalline V3InP at its relaxed geometry from Alexandria. Energies are from PBE-GGA.

Geometry as extended XYZ:
```
5
Lattice="4.942 0.000 0.000 0.000 4.942 0.000 0.000 0.000 4.942" Properties=species:S:1:pos:R:3 pbc="T T T"
P 2.471 2.471 2.471
V 2.471 0.000 0.000
In 0.000 0.000 0.000
V 0.000 2.471 0.000
V 0.000 0.000 2.471
```

Computed properties:
Calculated density: 4.1 g/cm3
SG: Pm-3m



Stability, highest: version i



Version i
Here is crystalline In3PW at its relaxed geometry from Alexandria. Energies are from PBE-GGA.

Geometry as extended XYZ:
```
5
Lattice="-1.635 1.256 4.546 3.189 -3.251 2.045 3.475 3.574 0.263" Properties=species:S:1:pos:R:3 pbc="T T T"
W 2.514 0.789 3.427
In 1.594 -1.625 1.022
P 0.000 0.000 0.000
In 1.738 1.787 0.131
In -0.817 0.628 2.273
```

Computed properties:
Calculated density: 7.5 g/cm3
SG: Pm-3m



Version ii
Here is crystalline In3PW at its relaxed geometry from Alexandria. Energies are from PBE-GGA.

Geometry as extended XYZ:
```
5
Lattice="5.329 0.000 0.000 0.000 5.329 0.000 0.000 0.000 5.329" Properties=species:S:1:pos:R:3 pbc="T T T"
W 0.000 0.000 0.000
In 2.665 0.000 0.000
P 2.665 2.665 2.665
In 0.000 2.665 0.000
In 0.000 0.000 2.665
```

Computed properties:
Calculated density: 6.1 g/cm3
SG: Pm-3m



Stability, highest: version ii



Version i
Here is crystalline Y2InP at its relaxed geometry from Alexandria. Energies are from PBE-GGA.

Geometry as extended XYZ:
```
4
Lattice="-1.072 -3.072 1.304 2.297 -1.673 -2.052 5.372 0.503 5.604" Properties=species:S:1:pos:R:3 pbc="T T T"
Y 3.822 0.358 3.987
In 0.612 -2.372 -0.374
Y 1.550 0.145 1.617
P 3.299 -2.121 2.428
```

Computed properties:
Calculated density: 5.6 g/cm3
SG: P4/mmm



Version ii
Here is crystalline Y2InP at its relaxed geometry from Alexandria. Energies are from PBE-GGA.

Geometry as extended XYZ:
```
4
Lattice="-0.052 0.221 3.573 -3.470 0.121 -0.872 -0.419 -8.325 0.509" Properties=species:S:1:pos:R:3 pbc="T T T"
Y -2.065 -5.866 1.720
Y -0.028 -0.550 0.034
In -0.192 -3.815 0.233
P -1.866 -1.914 1.478
```

Computed properties:
Calculated density: 5.2 g/cm3
SG: Cmm2



Stability, highest: version i



Version i
Here is crystalline Y2InP at its relaxed geometry from Alexandria. Energies are from PBE-GGA.

Geometry as extended XYZ:
```
8
Lattice="7.852 0.000 0.000 0.000 7.852 0.000 3.926 3.926 3.469" Properties=species:S:1:pos:R:3 pbc="T T T"
Y 5.889 6.188 2.602
In 7.852 3.926 1.734
In 0.000 0.000 0.000
Y 9.815 9.516 2.602
Y 2.262 5.889 0.867
P 3.926 7.852 1.734
Y 5.590 1.963 0.867
P 3.926 3.926 0.000
```

Computed properties:
Calculated density: 5.0 g/cm3
SG: I-42d



Version ii
Here is crystalline Y2InP at its relaxed geometry from Alexandria. Energies are from PBE-GGA.

Geometry as extended XYZ:
```
4
Lattice="-4.985 0.837 1.004 -3.308 0.808 -3.869 -3.506 -3.587 -1.185" Properties=species:S:1:pos:R:3 pbc="T T T"
Y -8.849 -1.456 -3.037
Y -2.950 -0.485 -1.012
P 0.000 0.000 0.000
In -5.899 -0.971 -2.025
```

Computed properties:
Calculated density: 5.6 g/cm3
SG: Fm-3m



Stability, highest: version i



Version i
Here is crystalline Y2InP at its relaxed geometry from Alexandria. Energies are from PBE-GGA.

Geometry as extended XYZ:
```
4
Lattice="-2.682 -0.443 -2.360 -2.173 -0.808 2.621 -2.454 7.264 1.425" Properties=species:S:1:pos:R:3 pbc="T T T"
Y -1.929 5.127 1.230
In -2.428 -0.625 0.130
P -3.654 3.007 0.843
Y -2.698 1.329 2.816
```

Computed properties:
Calculated density: 5.5 g/cm3
SG: P2/m



Version ii
Here is crystalline Y2InP at its relaxed geometry from Alexandria. Energies are from PBE-GGA.

Geometry as extended XYZ:
```
4
Lattice="1.393 2.938 1.212 -3.114 1.264 -0.862 -2.770 -1.754 7.437" Properties=species:S:1:pos:R:3 pbc="T T T"
Y -0.585 -0.370 1.569
In -2.246 1.224 3.893
Y -2.186 -1.384 5.867
P -0.861 2.101 0.175
```

Computed properties:
Calculated density: 5.5 g/cm3
SG: Cmmm



Stability, highest: version i



Version i
Here is crystalline YIn3P at its relaxed geometry from Alexandria. Energies are from PBE-GGA.

Geometry as extended XYZ:
```
5
Lattice="5.807 0.000 0.000 0.000 5.807 0.000 0.000 0.000 5.807" Properties=species:S:1:pos:R:3 pbc="T T T"
In 0.000 0.000 2.904
In 2.904 0.000 0.000
In 0.000 2.904 0.000
Y 0.000 0.000 0.000
P 2.904 2.904 2.904
```

Computed properties:
Calculated density: 3.9 g/cm3
SG: Pm-3m



Version ii
Here is crystalline YIn3P at its relaxed geometry from Alexandria. Energies are from PBE-GGA.

Geometry as extended XYZ:
```
5
Lattice="5.179 0.000 0.000 0.000 5.179 0.000 0.000 0.000 5.179" Properties=species:S:1:pos:R:3 pbc="T T T"
In 2.589 0.000 0.000
P 0.000 0.000 0.000
Y 2.589 2.589 2.589
In 0.000 2.589 0.000
In 0.000 0.000 2.589
```

Computed properties:
Calculated density: 5.6 g/cm3
SG: Pm-3m



Stability, highest: version ii